VASP calculation (PBE) on crystalline ScTlCu2 at its relaxed geometry.

abc: 4.592 4.592 4.592
angles: 60.00 60.00 60.00
Atoms (fractional coordinates):
Cu: 0.000 0.000 0.000
Cu: 0.750 0.750 0.750
Sc: 0.250 0.250 0.250
Tl: 0.500 0.500 0.500

E = -16.3 eV/f.u.
theoretical density = 9.129 g/cm3
crystal system = cubic
space group = F-43m